Arrangement 1

The following is a PBE calculation of crystalline Bi2Pb8Au at its relaxed geometry, from Alexandria.

Calculated values
Mass density   10.059 g/cm³
Space group   C2/m

abc: 8.2653 8.2653 5.9252
angles: 104.19 104.19 77.50
With the nearest neighbours (Å) after each atom.
Sites, in units of the cell vectors:
Bi: 0.1469 0.1469 0.4852  1 Au 2.90, 1 Pb 3.23
Bi: 0.8531 0.8531 0.5148  1 Au 2.90, 1 Pb 3.23
Pb: 0.1477 0.6875 0.2034  1 Au 3.01, 1 Bi 3.28, 1 Pb 3.31
Pb: 0.2722 0.2722 0.0904  2 Bi 3.23-3.44, 6 Pb 3.31-3.55, 1 Au 3.38
Pb: 0.3125 0.8523 0.7966  1 Au 3.01, 1 Bi 3.28, 1 Pb 3.31
Pb: 0.4262 0.4262 0.6880  7 Pb 3.35-3.69, 1 Bi 3.42
Pb: 0.5738 0.5738 0.3120  7 Pb 3.35-3.69, 1 Bi 3.42
Pb: 0.6875 0.1477 0.2034  1 Au 3.01, 1 Bi 3.28, 1 Pb 3.31
Pb: 0.7278 0.7278 0.9096  2 Bi 3.23-3.44, 6 Pb 3.31-3.55, 1 Au 3.38
Pb: 0.8523 0.3125 0.7966  1 Au 3.01, 1 Bi 3.28, 1 Pb 3.31
Au: 0.0000 0.0000 0.0000  2 Bi 2.90, 4 Pb 3.01


Arrangement 2

The following is a PBE calculation of crystalline Bi2Pb8Au at its relaxed geometry, from Alexandria.

Calculated values
Mass density   11.211 g/cm³
Space group   P-1

abc: 5.4172 6.8904 9.4128
angles: 84.21 74.40 89.60
With the nearest neighbours (Å) after each atom.
Sites, in units of the cell vectors:
Bi: 0.1650 0.1955 0.1709  9 Pb 3.27-3.56
Bi: 0.8350 0.8045 0.8291  9 Pb 3.27-3.56
Pb: 0.0235 0.7556 0.4455  2 Au 3.24-3.27, 6 Pb 3.51-3.61, 1 Bi 3.53
Pb: 0.2159 0.6640 0.0643  3 Bi 3.27-3.56, 5 Pb 3.40-3.65
Pb: 0.3477 0.1073 0.8058  1 Au 2.94
Pb: 0.4114 0.5892 0.6750  1 Au 3.10, 1 Pb 3.41, 2 Bi 3.44-3.46
Pb: 0.5886 0.4108 0.3250  1 Au 3.10, 1 Pb 3.41, 2 Bi 3.44-3.46
Pb: 0.6523 0.8927 0.1942  1 Au 2.94
Pb: 0.7841 0.3360 0.9357  3 Bi 3.27-3.56, 5 Pb 3.40-3.65
Pb: 0.9765 0.2444 0.5545  2 Au 3.24-3.27, 6 Pb 3.51-3.61, 1 Bi 3.53
Au: 0.5000 0.0000 0.5000  8 Pb 2.94-3.27


Short version: arrangement 1 is the least stable of them.


Arrangement 1

The following is a PBE calculation of crystalline BiPb3Au3 at its relaxed geometry, from Alexandria.

Calculated values
Mass density   9.637 g/cm³
Space group   Pm-3n

abc: 7.8829 7.8829 7.8829
angles: 90.00 90.00 90.00
With the nearest neighbours (Å) after each atom.
Sites, in units of the cell vectors:
Bi: 0.0000 0.0000 0.0000  12 Pb 4.41, 12 Au 4.41
Bi: 0.5000 0.5000 0.5000  12 Pb 4.41, 12 Au 4.41
Pb: 0.0000 0.2500 0.5000  4 Au 2.79
Pb: 0.0000 0.7500 0.5000  4 Au 2.79
Pb: 0.2500 0.5000 0.0000  4 Au 2.79
Pb: 0.5000 0.0000 0.2500  4 Au 2.79
Pb: 0.5000 0.0000 0.7500  4 Au 2.79
Pb: 0.7500 0.5000 0.0000  4 Au 2.79
Au: 0.0000 0.5000 0.2500  4 Pb 2.79
Au: 0.0000 0.5000 0.7500  4 Pb 2.79
Au: 0.2500 0.0000 0.5000  4 Pb 2.79
Au: 0.5000 0.2500 0.0000  4 Pb 2.79
Au: 0.5000 0.7500 0.0000  4 Pb 2.79
Au: 0.7500 0.0000 0.5000  4 Pb 2.79


Arrangement 2

The following is a PBE calculation of crystalline BiPb3Au3 at its relaxed geometry, from Alexandria.

Calculated values
Mass density   11.777 g/cm³
Space group   R-3

abc: 7.9164 7.9164 7.9164
angles: 66.63 66.63 66.63
With the nearest neighbours (Å) after each atom.
Sites, in units of the cell vectors:
Bi: 0.1671 0.1671 0.1671  6 Au 3.02-3.08
Bi: 0.8329 0.8329 0.8329  6 Au 3.02-3.08
Pb: 0.1174 0.6894 0.3931  5 Au 2.94-3.23
Pb: 0.3106 0.6069 0.8826  5 Au 2.94-3.23
Pb: 0.3931 0.1174 0.6894  5 Au 2.94-3.23
Pb: 0.6069 0.8826 0.3106  5 Au 2.94-3.23
Pb: 0.6894 0.3931 0.1174  5 Au 2.94-3.23
Pb: 0.8826 0.3106 0.6069  5 Au 2.94-3.23
Au: 0.0576 0.4325 0.7963  5 Pb 2.94-3.23, 2 Bi 3.02-3.08
Au: 0.2037 0.9424 0.5675  5 Pb 2.94-3.23, 2 Bi 3.02-3.08
Au: 0.4325 0.7963 0.0576  5 Pb 2.94-3.23, 2 Bi 3.02-3.08
Au: 0.5675 0.2037 0.9424  5 Pb 2.94-3.23, 2 Bi 3.02-3.08
Au: 0.7963 0.0576 0.4325  5 Pb 2.94-3.23, 2 Bi 3.02-3.08
Au: 0.9424 0.5675 0.2037  5 Pb 2.94-3.23, 2 Bi 3.02-3.08


Short version: arrangement 1 is the least stable of them.


Arrangement 1

The following is a PBE calculation of crystalline Bi5Pb2Au4 at its relaxed geometry, from Alexandria.

Calculated values
Mass density   11.004 g/cm³
Space group   C2/m

abc: 8.1165 8.1165 8.1622
angles: 119.72 119.72 48.74
With the nearest neighbours (Å) after each atom.
Sites, in units of the cell vectors:
Bi: 0.0000 0.0000 0.0000  2 Au 2.92, 4 Bi 3.27
Bi: 0.1703 0.6786 0.2516  4 Au 3.02-3.29, 2 Bi 3.27-3.29
Bi: 0.3214 0.8297 0.7484  4 Au 3.02-3.29, 2 Bi 3.27-3.29
Bi: 0.6786 0.1703 0.2516  4 Au 3.02-3.29, 2 Bi 3.27-3.29
Bi: 0.8297 0.3214 0.7484  4 Au 3.02-3.29, 2 Bi 3.27-3.29
Pb: 0.2966 0.2966 0.7963  1 Au 2.89
Pb: 0.7034 0.7034 0.2037  1 Au 2.89
Au: 0.2287 0.2287 0.1385  1 Au 2.77, 3 Bi 2.92-3.04
Au: 0.3749 0.3749 0.5395  1 Au 2.77, 1 Pb 2.89, 2 Bi 3.02
Au: 0.6251 0.6251 0.4605  1 Au 2.77, 1 Pb 2.89, 2 Bi 3.02
Au: 0.7713 0.7713 0.8615  1 Au 2.77, 3 Bi 2.92-3.04


Arrangement 2

The following is a PBE calculation of crystalline Bi5Pb2Au4 at its relaxed geometry, from Alexandria.

Calculated values
Mass density   11.871 g/cm³
Space group   C2/m

abc: 10.2454 10.2454 7.8069
angles: 95.61 95.61 22.67
With the nearest neighbours (Å) after each atom.
Sites, in units of the cell vectors:
Bi: 0.0000 0.0000 0.0000  8 Au 3.11-3.20
Bi: 0.2591 0.2591 0.6679  1 Au 2.90
Bi: 0.3425 0.3425 0.1574  2 Au 2.85-2.88
Bi: 0.6575 0.6575 0.8426  2 Au 2.85-2.88
Bi: 0.7409 0.7409 0.3321  1 Au 2.90
Pb: 0.0912 0.0912 0.4674  6 Au 3.10-3.18
Pb: 0.9088 0.9088 0.5326  6 Au 3.10-3.18
Au: 0.3952 0.3952 0.8311  1 Au 2.85, 4 Bi 2.85-3.11, 2 Pb 3.11
Au: 0.4791 0.4791 0.3092  2 Au 2.85-3.01, 1 Bi 2.88, 4 Pb 3.10-3.18
Au: 0.5209 0.5209 0.6908  2 Au 2.85-3.01, 1 Bi 2.88, 4 Pb 3.10-3.18
Au: 0.6048 0.6048 0.1689  1 Au 2.85, 4 Bi 2.85-3.11, 2 Pb 3.11


Short version: arrangement 1 is the least stable of them.


Arrangement 1

The following is a PBE calculation of crystalline TlBiPbAu at its relaxed geometry, from Alexandria.

Calculated values
Mass density   12.067 g/cm³
Space group   P4mm

abc: 3.6037 3.6037 8.6630
angles: 90.00 90.00 90.00
With the nearest neighbours (Å) after each atom.
Sites, in units of the cell vectors:
Tl: 0.0000 0.0000 0.0000  4 Bi 3.53, 4 Tl 3.60, 4 Pb 3.66
Bi: 0.5000 0.5000 0.7183  4 Au 3.15, 4 Tl 3.53
Pb: 0.5000 0.5000 0.3038  4 Au 3.08
Au: 0.0000 0.0000 0.5038  4 Pb 3.08, 4 Bi 3.15


Arrangement 2

The following is a PBE calculation of crystalline TlBiPbAu at its relaxed geometry, from Alexandria.

Calculated values
Mass density   12.075 g/cm³
Space group   F-43m

abc: 5.4174 5.4174 5.4174
angles: 60.00 60.00 60.00
With the nearest neighbours (Å) after each atom.
Sites, in units of the cell vectors:
Tl: 0.0000 0.0000 0.0000  4 Bi 3.32, 4 Au 3.32
Bi: 0.7500 0.7500 0.7500  4 Pb 3.32, 4 Tl 3.32
Pb: 0.5000 0.5000 0.5000  4 Bi 3.32, 4 Au 3.32
Au: 0.2500 0.2500 0.2500  4 Tl 3.32, 4 Pb 3.32


Short version: arrangement 2 is the least stable of them.


Arrangement 1

The following is a PBE calculation of crystalline Bi2Pd4Au at its relaxed geometry, from Alexandria.

Calculated values
Mass density   11.554 g/cm³
Space group   C2/m

abc: 4.9433 4.9433 8.3342
angles: 115.32 115.32 57.23
With the nearest neighbours (Å) after each atom.
Sites, in units of the cell vectors:
Bi: 0.1751 0.1751 0.3246  6 Pd 2.77-2.92
Bi: 0.8249 0.8249 0.6754  6 Pd 2.77-2.92
Pd: 0.1613 0.1613 0.9770  4 Pd 2.75-3.01, 2 Bi 2.77-2.84, 3 Au 2.80-2.85
Pd: 0.4964 0.4964 0.3262  1 Au 2.73, 4 Bi 2.78-2.92, 2 Pd 2.87-2.95
Pd: 0.5036 0.5036 0.6738  1 Au 2.73, 4 Bi 2.78-2.92, 2 Pd 2.87-2.95
Pd: 0.8387 0.8387 0.0230  4 Pd 2.75-3.01, 2 Bi 2.77-2.84, 3 Au 2.80-2.85
Au: 0.5000 0.5000 0.0000  8 Pd 2.73-2.85


Arrangement 2

The following is a PBE calculation of crystalline Bi2Pd4Au at its relaxed geometry, from Alexandria.

Calculated values
Mass density   12.116 g/cm³
Space group   C2/m

abc: 6.8926 6.8926 6.6205
angles: 111.45 111.45 29.33
With the nearest neighbours (Å) after each atom.
Sites, in units of the cell vectors:
Bi: 0.2326 0.2326 0.2328  5 Pd 2.79-2.97, 1 Au 2.90
Bi: 0.7674 0.7674 0.7672  5 Pd 2.79-2.97, 1 Au 2.90
Pd: 0.0945 0.0945 0.6970  1 Au 2.74, 2 Bi 2.79, 5 Pd 2.81-2.87
Pd: 0.4155 0.4155 0.6434  2 Au 2.81, 4 Pd 2.81-2.87, 3 Bi 2.89-2.97
Pd: 0.5845 0.5845 0.3566  2 Au 2.81, 4 Pd 2.81-2.87, 3 Bi 2.89-2.97
Pd: 0.9055 0.9055 0.3030  1 Au 2.74, 2 Bi 2.79, 5 Pd 2.81-2.87
Au: 0.0000 0.0000 0.0000  6 Pd 2.74-2.81, 2 Bi 2.90


Short version: arrangement 2 is the least stable of them.


Arrangement 1

The following is a PBE calculation of crystalline Bi2Pd2Au at its relaxed geometry, from Alexandria.

Calculated values
Mass density   12.791 g/cm³
Space group   P4/mbm

abc: 7.4961 7.4961 3.8250
angles: 90.00 90.00 90.00
With the nearest neighbours (Å) after each atom.
Sites, in units of the cell vectors:
Bi: 0.1660 0.3340 0.0000  6 Pd 2.84-2.97
Bi: 0.3340 0.8340 0.0000  6 Pd 2.84-2.97
Bi: 0.6660 0.1660 0.0000  6 Pd 2.84-2.97
Bi: 0.8340 0.6660 0.0000  6 Pd 2.84-2.97
Pd: 0.1355 0.6355 0.5000  6 Bi 2.84-2.97, 1 Pd 2.87, 2 Au 2.91
Pd: 0.3645 0.1355 0.5000  6 Bi 2.84-2.97, 1 Pd 2.87, 2 Au 2.91
Pd: 0.6355 0.8645 0.5000  6 Bi 2.84-2.97, 1 Pd 2.87, 2 Au 2.91
Pd: 0.8645 0.3645 0.5000  6 Bi 2.84-2.97, 1 Pd 2.87, 2 Au 2.91
Au: 0.0000 0.0000 0.5000  4 Pd 2.91
Au: 0.5000 0.5000 0.5000  4 Pd 2.91


Arrangement 2

The following is a PBE calculation of crystalline Bi2Pd2Au at its relaxed geometry, from Alexandria.

Calculated values
Mass density   12.504 g/cm³
Space group   C2/m

abc: 6.6007 6.6007 8.1582
angles: 118.44 118.44 46.31
With the nearest neighbours (Å) after each atom.
Sites, in units of the cell vectors:
Bi: 0.0977 0.0977 0.3512  4 Pd 2.84-2.87, 1 Au 3.06
Bi: 0.2662 0.2662 0.8454  5 Pd 2.78-2.96
Bi: 0.7338 0.7338 0.1546  5 Pd 2.78-2.96
Bi: 0.9023 0.9023 0.6488  4 Pd 2.84-2.87, 1 Au 3.06
Pd: 0.1232 0.1232 0.0245  5 Bi 2.79-2.86, 3 Pd 2.81-3.06, 1 Au 2.92
Pd: 0.4974 0.4974 0.8118  4 Bi 2.78-2.96, 2 Au 2.91-2.93, 3 Pd 3.04-3.06
Pd: 0.5026 0.5026 0.1882  4 Bi 2.78-2.96, 2 Au 2.91-2.93, 3 Pd 3.04-3.06
Pd: 0.8768 0.8768 0.9755  5 Bi 2.79-2.86, 3 Pd 2.81-3.06, 1 Au 2.92
Au: 0.3640 0.3640 0.3948  1 Au 2.82, 3 Pd 2.91-2.93, 3 Bi 3.06-3.14
Au: 0.6360 0.6360 0.6052  1 Au 2.82, 3 Pd 2.91-2.93, 3 Bi 3.06-3.14


Arrangement 3

The following is a PBE calculation of crystalline Bi2Pd2Au at its relaxed geometry, from Alexandria.

Calculated values
Mass density   12.340 g/cm³
Space group   P4/mbm

abc: 8.0347 8.0347 3.4511
angles: 90.00 90.00 90.00
With the nearest neighbours (Å) after each atom.
Sites, in units of the cell vectors:
Bi: 0.1681 0.3319 0.0000  6 Pd 2.90-2.95, 2 Au 2.99
Bi: 0.3319 0.8319 0.0000  6 Pd 2.90-2.95, 2 Au 2.99
Bi: 0.6681 0.1681 0.0000  6 Pd 2.90-2.95, 2 Au 2.99
Bi: 0.8319 0.6681 0.0000  6 Pd 2.90-2.95, 2 Au 2.99
Pd: 0.1266 0.6266 0.5000  1 Pd 2.88, 6 Bi 2.90-2.95
Pd: 0.3734 0.1266 0.5000  1 Pd 2.88, 6 Bi 2.90-2.95
Pd: 0.6266 0.8734 0.5000  1 Pd 2.88, 6 Bi 2.90-2.95
Pd: 0.8734 0.3734 0.5000  1 Pd 2.88, 6 Bi 2.90-2.95
Au: 0.0000 0.0000 0.0000  4 Bi 2.99
Au: 0.5000 0.5000 0.0000  4 Bi 2.99


Arrangement 4

The following is a PBE calculation of crystalline Bi2Pd2Au at its relaxed geometry, from Alexandria.

Calculated values
Mass density   11.979 g/cm³
Space group   I4/mmm

abc: 8.1307 8.1307 8.1307
angles: 152.45 152.45 39.35
With the nearest neighbours (Å) after each atom.
Sites, in units of the cell vectors:
Bi: 0.1130 0.1130 0.0000  4 Pd 2.85
Bi: 0.8870 0.8870 0.0000  4 Pd 2.85
Pd: 0.2500 0.7500 0.5000  4 Pd 2.74, 4 Bi 2.85
Pd: 0.7500 0.2500 0.5000  4 Pd 2.74, 4 Bi 2.85
Au: 0.5000 0.5000 0.0000  8 Bi 3.24


Short version: arrangement 4 is the least stable of them.


Arrangement 1

The following is a PBE calculation of crystalline BiPd4Au3 at its relaxed geometry, from Alexandria.

Calculated values
Mass density   14.425 g/cm³
Space group   I4/mmm

abc: 8.1585 8.1585 8.1585
angles: 149.31 149.31 43.96
With the nearest neighbours (Å) after each atom.
Sites, in units of the cell vectors:
Bi: 0.0000 0.0000 0.0000  8 Pd 2.89, 4 Au 3.05
Pd: 0.1274 0.6274 0.5000  6 Au 2.83-2.89, 2 Bi 2.89, 4 Pd 3.05
Pd: 0.3726 0.8726 0.5000  6 Au 2.83-2.89, 2 Bi 2.89, 4 Pd 3.05
Pd: 0.6274 0.1274 0.5000  6 Au 2.83-2.89, 2 Bi 2.89, 4 Pd 3.05
Pd: 0.8726 0.3726 0.5000  6 Au 2.83-2.89, 2 Bi 2.89, 4 Pd 3.05
Au: 0.2518 0.2518 0.0000  8 Pd 2.83-2.86, 4 Au 3.05
Au: 0.5000 0.5000 0.0000  8 Pd 2.89, 4 Bi 3.05
Au: 0.7482 0.7482 0.0000  8 Pd 2.83-2.86, 4 Au 3.05


Arrangement 2

The following is a PBE calculation of crystalline BiPd4Au3 at its relaxed geometry, from Alexandria.

Calculated values
Mass density   13.816 g/cm³
Space group   Imm2

abc: 6.1772 6.1772 6.1772
angles: 125.75 79.08 127.23
With the nearest neighbours (Å) after each atom.
Sites, in units of the cell vectors:
Bi: 0.0000 0.0000 0.0000  4 Pd 2.70-2.89, 4 Au 2.83-2.88
Pd: 0.4478 0.1856 0.2621  1 Bi 2.70, 5 Au 2.72-2.82, 2 Pd 2.93
Pd: 0.4571 0.2021 0.7450  4 Pd 2.76-2.93, 1 Bi 2.89, 4 Au 2.98-3.08
Pd: 0.4571 0.7122 0.2550  4 Pd 2.76-2.93, 1 Bi 2.89, 4 Au 2.98-3.08
Pd: 0.9235 0.1856 0.7379  1 Bi 2.70, 5 Au 2.72-2.82, 2 Pd 2.93
Au: 0.4423 0.6839 0.7585  6 Pd 2.74-2.98, 1 Au 2.76, 1 Bi 2.88
Au: 0.9254 0.6839 0.2415  6 Pd 2.74-2.98, 1 Au 2.76, 1 Bi 2.88
Au: 0.9585 0.4585 0.5000  2 Pd 2.72, 2 Au 2.76, 2 Bi 2.83


Short version: arrangement 2 is the least stable of them.


Arrangement 1

The following is a PBE calculation of crystalline Bi2Pd8Au3 at its relaxed geometry, from Alexandria.

Calculated values
Mass density   12.891 g/cm³
Space group   C2/m

abc: 7.5755 7.5755 4.8263
angles: 98.27 98.27 61.34
With the nearest neighbours (Å) after each atom.
Sites, in units of the cell vectors:
Bi: 0.1590 0.1590 0.3201  8 Pd 2.69-2.94
Bi: 0.8410 0.8410 0.6799  8 Pd 2.69-2.94
Pd: 0.0604 0.0604 0.7764  3 Bi 2.72-2.82, 4 Pd 2.78-2.88, 2 Au 2.80
Pd: 0.1142 0.5294 0.2857  2 Bi 2.69-2.94, 4 Pd 2.78-2.97, 2 Au 2.87-2.90
Pd: 0.3168 0.3168 0.8005  3 Au 2.83-2.99, 6 Pd 2.83-2.97, 1 Bi 2.83
Pd: 0.4706 0.8858 0.7143  2 Bi 2.69-2.94, 4 Pd 2.78-2.97, 2 Au 2.87-2.90
Pd: 0.5294 0.1142 0.2857  2 Bi 2.69-2.94, 4 Pd 2.78-2.97, 2 Au 2.87-2.90
Pd: 0.6832 0.6832 0.1995  3 Au 2.83-2.99, 6 Pd 2.83-2.97, 1 Bi 2.83
Pd: 0.8858 0.4706 0.7143  2 Bi 2.69-2.94, 4 Pd 2.78-2.97, 2 Au 2.87-2.90
Pd: 0.9396 0.9396 0.2236  3 Bi 2.72-2.82, 4 Pd 2.78-2.88, 2 Au 2.80
Au: 0.3107 0.6893 0.0000  6 Pd 2.80-2.90, 3 Au 2.82-2.93
Au: 0.5000 0.5000 0.5000  4 Au 2.82, 6 Pd 2.87-2.99
Au: 0.6893 0.3107 0.0000  6 Pd 2.80-2.90, 3 Au 2.82-2.93


Arrangement 2

The following is a PBE calculation of crystalline Bi2Pd8Au3 at its relaxed geometry, from Alexandria.

Calculated values
Mass density   13.020 g/cm³
Space group   P-1

abc: 4.8793 6.5747 7.6933
angles: 82.30 77.18 82.66
With the nearest neighbours (Å) after each atom.
Sites, in units of the cell vectors:
Bi: 0.1535 0.2282 0.1972  9 Pd 2.76-3.01, 2 Au 3.03-3.06
Bi: 0.8465 0.7718 0.8028  9 Pd 2.76-3.01, 2 Au 3.03-3.06
Pd: 0.0619 0.3536 0.8555  2 Bi 2.76-2.82, 5 Pd 2.79-3.04, 3 Au 2.80-2.84
Pd: 0.2110 0.0701 0.5751  6 Pd 2.84-2.95, 4 Au 2.85-3.06, 2 Bi 2.94-3.01
Pd: 0.2884 0.9245 0.9271  3 Bi 2.78-2.98, 6 Pd 2.79-2.96, 2 Au 2.84-2.89
Pd: 0.4269 0.6425 0.6436  4 Au 2.83-2.87, 5 Pd 2.86-3.00, 2 Bi 2.87-2.89
Pd: 0.5731 0.3575 0.3564  4 Au 2.83-2.87, 5 Pd 2.86-3.00, 2 Bi 2.87-2.89
Pd: 0.7116 0.0755 0.0729  3 Bi 2.78-2.98, 6 Pd 2.79-2.96, 2 Au 2.84-2.89
Pd: 0.7890 0.9299 0.4249  6 Pd 2.84-2.95, 4 Au 2.85-3.06, 2 Bi 2.94-3.01
Pd: 0.9381 0.6464 0.1445  2 Bi 2.76-2.82, 5 Pd 2.79-3.04, 3 Au 2.80-2.84
Au: 0.0000 0.5000 0.5000  2 Au 2.84, 8 Pd 2.84-2.91, 2 Bi 3.03
Au: 0.3712 0.7765 0.2840  9 Pd 2.80-3.06, 1 Au 2.84, 1 Bi 3.06
Au: 0.6288 0.2235 0.7160  9 Pd 2.80-3.06, 1 Au 2.84, 1 Bi 3.06


Short version: arrangement 1 is the least stable of them.